(1)
First-principles (PBE) data for a relaxed structure of NaBS2, as listed in Alexandria via LeMat-Bulk.

```
NaBS2
1.0
1.853 0.000 7.534
-0.926 1.604 7.534
-0.926 -1.604 7.534
Na S B
1 2 1
Direct
0.000 0.000 0.000 Na
0.884 0.884 0.884 S
0.116 0.116 0.116 S
0.500 0.500 0.500 B
```

Formation energy (no corrections) = 0.127 eV/atom
Crystal system = trigonal
Symmetry = No. 166
Magnetic moment = 0.00 μB per formula unit

(2)
First-principles (PBE) data for a relaxed structure of NaBS2, as listed in Alexandria via LeMat-Bulk.

```
NaBS2
1.0
5.034 -0.552 -1.325
-2.068 5.258 -1.931
-0.506 0.681 5.910
Na B S
2 2 4
Direct
0.750 0.870 0.130 Na
0.250 0.130 0.870 Na
0.750 0.497 0.503 B
0.250 0.503 0.497 B
0.866 0.443 0.230 S
0.634 0.770 0.557 S
0.134 0.557 0.770 S
0.366 0.230 0.443 S
```

Formation energy (no corrections) = -0.731 eV/atom
Crystal system = monoclinic
Symmetry = No. 15
Magnetic moment = 0.00 μB per formula unit

(3)
First-principles (PBE) data for a relaxed structure of NaBS2, as listed in Alexandria via LeMat-Bulk.

```
NaBS2
1.0
5.900 0.000 0.000
0.000 5.900 0.000
2.950 2.950 3.852
Na S B
2 4 2
Direct
0.000 0.000 0.000 Na
0.750 0.250 0.500 Na
0.520 0.125 0.250 S
0.230 0.625 0.250 S
0.375 0.480 0.750 S
0.875 0.770 0.750 S
0.500 0.500 0.000 B
0.250 0.750 0.500 B
```

Formation energy (no corrections) = -0.702 eV/atom
Crystal system = tetragonal
Symmetry = No. 122
Magnetic moment = 0.00 μB per formula unit

(4)
First-principles (PBE) data for a relaxed structure of NaSi2BS6, as listed in Alexandria via LeMat-Bulk.

```
NaSi2BS6
1.0
6.400 0.298 0.309
2.386 8.311 -0.094
2.386 -0.402 8.302
Na Si B S
2 4 2 12
Direct
0.250 0.891 0.109 Na
0.750 0.109 0.891 Na
0.454 0.789 0.619 Si
0.046 0.381 0.211 Si
0.546 0.211 0.381 Si
0.954 0.619 0.789 Si
0.250 0.208 0.792 B
0.750 0.792 0.208 B
0.205 0.993 0.788 S
0.295 0.212 0.007 S
0.795 0.007 0.212 S
0.705 0.788 0.993 S
0.457 0.805 0.370 S
0.043 0.630 0.195 S
0.543 0.195 0.630 S
0.957 0.370 0.805 S
0.319 0.596 0.726 S
0.181 0.274 0.404 S
0.681 0.404 0.274 S
0.819 0.726 0.596 S
```

Formation energy (no corrections) = -0.581 eV/atom
Crystal system = monoclinic
Symmetry = No. 15
Magnetic moment = 0.00 μB per formula unit

(5)
First-principles (PBE) data for a relaxed structure of Na2SnBS, as listed in Alexandria via LeMat-Bulk.

```
Na2SnBS
1.0
-3.921 -0.122 -4.064
-2.717 -0.165 2.626
-0.262 5.642 0.083
Na S B Sn
2 1 1 1
Direct
0.000 0.000 0.500 Na
0.500 0.000 0.000 Na
0.000 0.000 0.000 S
0.000 0.500 0.000 B
0.500 0.500 0.500 Sn
```

Formation energy (no corrections) = 0.338 eV/atom
Crystal system = tetragonal
Symmetry = No. 123
Magnetic moment = 0.00 μB per formula unit

(6)
First-principles (PBE) data for a relaxed structure of Na2SnBS4, as listed in Alexandria via LeMat-Bulk.

```
Na2SnBS4
1.0
-4.736 3.285 -3.064
-0.980 -3.158 5.629
4.900 2.979 3.119
Na Sn B S
2 1 1 4
Direct
0.500 0.750 0.250 Na
0.000 0.000 0.000 Na
0.500 0.250 0.750 Sn
0.000 0.500 0.500 B
0.626 0.414 0.423 S
0.009 0.212 0.586 S
0.991 0.577 0.203 S
0.374 0.797 0.788 S
```

Formation energy (no corrections) = -0.612 eV/atom
Crystal system = tetragonal
Symmetry = No. 82
Magnetic moment = 0.76 μB per formula unit

(7)
First-principles (PBE) data for a relaxed structure of NaSr2B2S6, as listed in Alexandria via LeMat-Bulk.

```
NaSr2B2S6
1.0
-4.771 -3.782 -0.408
5.897 -2.358 -1.479
-1.430 0.955 7.876
Na Sr B S
1 2 2 6
Direct
0.500 0.000 0.500 Na
0.702 0.405 0.216 Sr
0.298 0.595 0.784 Sr
0.961 0.922 0.759 B
0.039 0.078 0.241 B
0.784 0.568 0.650 S
0.181 0.873 0.180 S
0.309 0.127 0.820 S
0.819 0.127 0.820 S
0.691 0.873 0.180 S
0.216 0.432 0.350 S
```

Formation energy (no corrections) = -1.083 eV/atom
Crystal system = monoclinic
Symmetry = No. 12
Magnetic moment = 0.00 μB per formula unit

(8)
First-principles (PBE) data for a relaxed structure of NaBTeS4, as listed in Alexandria via LeMat-Bulk.

```
NaBTeS4
1.0
6.496 0.088 0.000
-2.529 5.984 0.000
0.000 0.000 8.141
Na B Te S
2 2 2 8
Direct
0.500 0.500 0.500 Na
0.500 0.500 0.000 Na
0.123 0.877 0.250 B
0.877 0.123 0.750 B
0.832 0.168 0.250 Te
0.168 0.832 0.750 Te
0.203 0.218 0.750 S
0.782 0.797 0.750 S
0.767 0.233 0.929 S
0.767 0.233 0.571 S
0.233 0.767 0.071 S
0.233 0.767 0.429 S
0.797 0.782 0.250 S
0.218 0.203 0.250 S
```

Formation energy (no corrections) = -0.302 eV/atom
Crystal system = orthorhombic
Symmetry = No. 63
Magnetic moment = 0.00 μB per formula unit

(9)
First-principles (PBE) data for a relaxed structure of NaTiB2S, as listed in Alexandria via LeMat-Bulk.

```
NaTiB2S
1.0
4.179 0.000 0.000
0.000 6.083 0.000
0.000 0.000 4.179
Na S B Ti
1 1 2 1
Direct
0.000 0.500 0.000 Na
0.500 0.500 0.500 S
0.000 0.000 0.500 B
0.500 0.000 0.000 B
0.000 0.000 0.000 Ti
```

Formation energy (no corrections) = 1.442 eV/atom
Crystal system = tetragonal
Symmetry = No. 123
Magnetic moment = 0.00 μB per formula unit

(10)
First-principles (PBE) data for a relaxed structure of NaZnB2S, as listed in Alexandria via LeMat-Bulk.

```
NaZnB2S
1.0
4.571 0.000 0.000
0.000 4.996 0.000
0.000 0.000 4.571
Na Zn B S
1 1 2 1
Direct
0.000 0.000 0.000 Na
0.000 0.500 0.000 Zn
0.000 0.000 0.500 B
0.500 0.000 0.000 B
0.500 0.500 0.500 S
```

Formation energy (no corrections) = 2.250 eV/atom
Crystal system = tetragonal
Symmetry = No. 123
Magnetic moment = 0.00 μB per formula unit

(11)
First-principles (PBE) data for a relaxed structure of NaZn2BS4, as listed in Alexandria via LeMat-Bulk.

```
NaZn2BS4
1.0
-4.137 -2.903 -2.742
3.387 -4.643 -0.185
-1.285 2.405 5.416
Na Zn B S
1 2 1 4
Direct
0.001 0.001 0.001 Na
0.750 0.250 0.500 Zn
0.250 0.750 0.500 Zn
0.500 0.500 0.000 B
0.577 0.577 0.760 S
0.423 0.817 0.240 S
0.817 0.423 0.240 S
0.183 0.183 0.760 S
```

Formation energy (no corrections) = -0.738 eV/atom
Crystal system = orthorhombic
Symmetry = No. 42
Magnetic moment = 0.00 μB per formula unit

(12)
First-principles (PBE) data for a relaxed structure of NaZnB2S4, as listed in Alexandria via LeMat-Bulk.

```
NaZnB2S4
1.0
-3.000 0.089 -4.913
2.995 -1.794 -5.234
-2.867 -5.331 -1.719
Na Zn B S
1 1 2 4
Direct
0.000 0.000 0.000 Na
0.000 0.500 0.500 Zn
0.500 0.618 0.382 B
0.500 0.382 0.618 B
0.613 0.421 0.818 S
0.387 0.182 0.579 S
0.852 0.579 0.182 S
0.148 0.818 0.421 S
```

Formation energy (no corrections) = -0.443 eV/atom
Crystal system = orthorhombic
Symmetry = No. 23
Magnetic moment = 0.01 μB per formula unit

- The highest magnetic moment belongs to which entry?
  Na2SnBS4

- Look up the formation energy (no corrections) of the ninth one.
  1.442 eV/atom

- What is the magnetic moment in the second record?
  0.00 μB per formula unit